Entry 1:
Cu3CSe4 | PBE | relaxed

a = 5.9889 Å, b = 5.9889 Å, c = 5.9889 Å
α = 90.00°, β = 90.00°, γ = 90.00°
With the nearest neighbours (Å) after each atom.
Space group P-43m (No. 215)
Asymmetric unit:
1 Cu 0.0000 0.0000 0.5000 x3  4 Se 2.46
2 C 0.0000 0.0000 0.0000 x1  4 Se 1.99
3 Se 0.1915 0.1915 0.1915 x4  1 C 1.99

=====

Entry 2:
ReBr4 | PBE | relaxed

a = 12.5399 Å, b = 6.7380 Å, c = 8.5763 Å
α = 90.00°, β = 130.27°, γ = 90.00°
With the nearest neighbours (Å) after each atom.
Space group C2/m (No. 12)
Asymmetric unit:
1 Re 0.0000 0.2009 0.0000 x4  6 Br 2.46-2.64, 1 Re 2.71
2 Br 0.0211 0.2344 0.3044 x8  1 Re 2.46
3 Br 0.1771 0.5000 0.1528 x4  2 Re 2.64
4 Br 0.2175 0.0000 0.1855 x4  2 Re 2.49

Calculated values
Magnetization: 1.0 μB per formula unit

=====

Entry 3:
NaHoSO | PBE | relaxed

a = 3.9048 Å, b = 3.9048 Å, c = 9.1839 Å
α = 90.00°, β = 90.00°, γ = 90.00°
With the nearest neighbours (Å) after each atom.
Space group P4/nmm (No. 129, origin choice 2)
Asymmetric unit:
1 Na 0.2500 0.7500 0.0000 x2  4 S 2.70, 4 Na 2.76
2 Ho 0.2500 0.2500 0.3821 x2  4 O 2.23
3 S 0.2500 0.2500 0.7971 x2  4 Na 2.70
4 O 0.2500 0.7500 0.5000 x2  4 Ho 2.23

Calculated values
Magnetization: 0.0 μB per formula unit

=====

Entry 4:
Sm2Ge2O7 | PBE | relaxed

a = 6.8786 Å, b = 6.9008 Å, c = 12.4448 Å
α = 93.93°, β = 91.02°, γ = 91.63°
With the nearest neighbours (Å) after each atom.
Space group P-1 (No. 2)
Asymmetric unit:
1 Sm 0.0495 0.3294 0.1150 x2  7 O 2.31-2.47
2 Sm 0.1164 0.0822 0.3603 x2  5 O 2.29-2.47
3 Sm 0.3198 0.8300 0.1130 x2  7 O 2.35-2.55
4 Sm 0.3703 0.2355 0.6282 x2  6 O 2.27-2.44
5 Ge 0.1433 0.6161 0.3825 x2  4 O 1.74-1.81
6 Ge 0.1641 0.1478 0.8835 x2  4 O 1.73-1.80
7 Ge 0.3800 0.7351 0.6011 x2  4 O 1.72-1.81
8 Ge 0.4880 0.6712 0.8340 x2  4 O 1.74-1.86
9 O 0.0014 0.6621 0.0819 x2  1 Ge 1.80
10 O 0.0075 0.0150 0.1846 x2  1 Ge 1.77
11 O 0.0393 0.2266 0.5695 x2  1 Ge 1.77
12 O 0.0677 0.4023 0.3100 x2  1 Ge 1.74
13 O 0.2226 0.9227 0.6226 x2  1 Ge 1.72
14 O 0.2458 0.0980 0.0123 x2  1 Ge 1.75
15 O 0.2905 0.7818 0.3131 x2  1 Ge 1.78
16 O 0.2928 0.7222 0.9173 x2  1 Ge 1.74
17 O 0.3006 0.5591 0.4931 x2  2 Ge 1.81
18 O 0.3479 0.4920 0.1189 x2  1 Ge 1.74
19 O 0.3636 0.2110 0.8094 x2  1 Ge 1.73
20 O 0.3809 0.1336 0.2179 x2  1 Ge 1.77
21 O 0.3889 0.5637 0.7020 x2  2 Ge 1.78-1.86
22 O 0.4079 0.1595 0.4470 x2  1 Ge 1.75

Calculated values
Magnetization: 0.0 μB per formula unit

=====

Entry 5:
Re2NiSn | PBE | relaxed

a = 4.5285 Å, b = 9.5625 Å, c = 5.6014 Å
α = 90.00°, β = 90.00°, γ = 90.00°
With the nearest neighbours (Å) after each atom.
Space group Ama2 (No. 40)
Asymmetric unit:
1 Re 0.2500 0.0898 0.0000 x4  6 Re 2.69-2.84, 4 Ni 2.75-2.79, 2 Sn 2.79-2.81
2 Re 0.2500 0.3412 0.2694 x4  4 Sn 2.66-2.88, 4 Re 2.69-2.84, 4 Ni 2.71-2.89
3 Ni 0.2500 0.3382 0.7526 x4  8 Re 2.71-2.89, 4 Sn 2.71-2.83
4 Sn 0.2500 0.0971 0.4980 x4  6 Re 2.66-2.88, 4 Ni 2.71-2.83, 2 Sn 2.93

Calculated values
Magnetization: 0.0 μB per formula unit

=====

Entry 6:
MgTaCoPb | PBE | relaxed

a = 6.5727 Å, b = 6.5727 Å, c = 6.5727 Å
α = 90.00°, β = 90.00°, γ = 90.00°
With the nearest neighbours (Å) after each atom.
Space group F-43m (No. 216)
Asymmetric unit:
1 Mg 0.0000 0.0000 0.0000 x4  4 Ta 2.85, 4 Pb 2.85
2 Ta 0.2500 0.2500 0.7500 x4  4 Co 2.85, 4 Mg 2.85
3 Co 0.0000 0.0000 0.5000 x4  4 Ta 2.85, 4 Pb 2.85
4 Pb 0.2500 0.2500 0.2500 x4  4 Co 2.85, 4 Mg 2.85

Calculated values
Magnetization: 0.0 μB per formula unit

=====

Entry 7:
TmZn2GeIr4 | PBE | relaxed

a = 4.3470 Å, b = 4.3470 Å, c = 6.4776 Å
α = 90.00°, β = 90.00°, γ = 90.00°
With the nearest neighbours (Å) after each atom.
Space group P4/mmm (No. 123)
Asymmetric unit:
1 Tm 0.0000 0.0000 0.0000 x1  8 Ir 2.81, 4 Zn 3.07
2 Zn 0.0000 0.0000 0.5000 x1  8 Ir 2.62
3 Zn 0.5000 0.5000 0.0000 x1  8 Ir 2.81, 4 Tm 3.07
4 Ge 0.5000 0.5000 0.5000 x1  8 Ir 2.62
5 Ir 0.0000 0.5000 0.2746 x4  2 Ge 2.62, 4 Zn 2.62-2.81, 2 Tm 2.81, 1 Ir 2.92

Calculated values
Magnetization: 0.0 μB per formula unit

=====

Entry 8:
Rb2MoPtN4 | PBE | relaxed

a = 6.3153 Å, b = 6.3153 Å, c = 7.2921 Å
α = 90.00°, β = 90.00°, γ = 90.00°
With the nearest neighbours (Å) after each atom.
Space group I-4 (No. 82)
Asymmetric unit:
1 Rb 0.0000 0.0000 0.0000 x2  4 N 3.04
2 Rb 0.0000 0.5000 0.2500 x2  4 N 2.87
3 Mo 0.0000 0.5000 0.7500 x2  4 N 1.88
4 Pt 0.0000 0.0000 0.5000 x2  4 N 1.97
5 N 0.0828 0.2833 0.5889 x8  1 Mo 1.88, 1 Pt 1.97

Calculated values
Magnetization: 0.0 μB per formula unit

=====

Entry 9:
YPuNp | PBE | relaxed

a = 7.0429 Å, b = 7.0429 Å, c = 7.0429 Å
α = 90.00°, β = 90.00°, γ = 90.00°
With the nearest neighbours (Å) after each atom.
Space group F-43m (No. 216)
Asymmetric unit:
1 Y 0.0000 0.0000 0.0000 x4  4 Pu 3.05
2 Pu 0.2500 0.2500 0.7500 x4  4 Np 3.05, 4 Y 3.05
3 Np 0.0000 0.0000 0.5000 x4  4 Pu 3.05

Calculated values
Magnetization: 10.3 μB per formula unit
Calculated formation energy: 0.910 eV/atom

=====

Entry 10:
LiPr | PBE | relaxed

a = 3.5305 Å, b = 3.5305 Å, c = 9.9078 Å
α = 90.00°, β = 90.00°, γ = 120.00°
With the nearest neighbours (Å) after each atom.
Space group P6_3/mmc (No. 194)
Asymmetric unit:
1 Li 0.3333 0.6667 0.2500 x2  6 Pr 3.21, 6 Li 3.53
2 Pr 0.0000 0.0000 0.0000 x2  6 Li 3.21, 6 Pr 3.53

Calculated values
Magnetization: 0.0 μB per formula unit

=====

Entry 11:
UCoOs | PBE | relaxed

a = 6.0794 Å, b = 6.0794 Å, c = 6.0794 Å
α = 90.00°, β = 90.00°, γ = 90.00°
With the nearest neighbours (Å) after each atom.
Space group F-43m (No. 216)
Asymmetric unit:
1 U 0.0000 0.0000 0.0000 x4  4 Os 2.63, 4 Co 2.63
2 Co 0.2500 0.2500 0.2500 x4  4 U 2.63
3 Os 0.2500 0.2500 0.7500 x4  4 U 2.63

Calculated values
Magnetization: 0.6 μB per formula unit
Calculated formation energy: 0.582 eV/atom

=====

Entry 12:
PrB4Mo | PBE | relaxed

a = 3.1420 Å, b = 3.1420 Å, c = 7.5545 Å
α = 90.00°, β = 90.00°, γ = 120.00°
With the nearest neighbours (Å) after each atom.
Space group P6/mmm (No. 191)
Asymmetric unit:
1 Pr 0.0000 0.0000 0.0000 x1  12 B 2.83, 6 Pr 3.14
2 B 0.3333 0.6667 0.2875 x4  3 B 1.81
3 Mo 0.0000 0.0000 0.5000 x1  12 B 2.42

Calculated values
Magnetization: 0.0 μB per formula unit

=====

Quick rundown of total DFT energy (no corrections), same order as above: -32.1, -20.2, -23.9, -81.5, -33.1, -21.9, -50.4, -51.4, -30.6, -6.3, -27.9, -44.5 eV per formula unit